1.
Here is crystalline Pu2Al4Cu3Pd at its relaxed geometry from Alexandria. Energies are from PBE.

Geometry as extended XYZ:
```
10
Lattice="4.1637 0.0000 0.0000 0.0000 4.1637 0.0000 0.0000 0.0000 10.3633" Properties=species:S:1:pos:R:3 pbc="T T T"
Pu 0.0000 2.0819 2.5713
Pu 2.0819 0.0000 7.7920
Al 0.0000 0.0000 0.0000
Al 0.0000 2.0819 6.5658
Al 2.0819 0.0000 3.7975
Al 2.0819 2.0819 0.0000
Cu 0.0000 2.0819 8.9915
Cu 2.0819 0.0000 1.3718
Cu 2.0819 2.0819 5.1816
Pd 0.0000 0.0000 5.1816
```

Results
- space group = P-4m2 (115)
- calculated formation energy (kJ/mol of formula units) = -301



2.
Here is crystalline AsBr2Cl at its relaxed geometry from Alexandria. Energies are from PBE.

Geometry as extended XYZ:
```
4
Lattice="1.9900 1.1489 7.4972 -1.9900 1.1489 7.4972 0.0000 -2.2978 7.4972" Properties=species:S:1:pos:R:3 pbc="T T T"
As 0.0000 0.0000 0.0000
Br 0.0000 0.0000 5.9443
Br 0.0000 0.0000 16.5472
Cl 0.0000 0.0000 11.2458
```

Results
- space group = R-3m (166)
- formation energy without anion corrections (eV/atom) = -0.0080
- polymorph energy (0 for the lowest one) (meV per atom) = 521



3.
Here is crystalline LiSnSbRu at its relaxed geometry from Alexandria. Energies are from PBE.

Geometry as extended XYZ:
```
4
Lattice="0.0000 3.2923 3.2923 3.2923 0.0000 3.2923 3.2923 3.2923 0.0000" Properties=species:S:1:pos:R:3 pbc="T T T"
Li 0.0000 0.0000 0.0000
Sn 4.9385 4.9385 4.9385
Sb 1.6462 1.6462 1.6462
Ru 3.2923 3.2923 3.2923
```

Results
- space group = F-43m (216)
- formation energy without anion corrections (eV/atom) = -0.1660



4.
Here is crystalline Pu2Ge6IrPd at its relaxed geometry from Alexandria. Energies are from PBE.

Geometry as extended XYZ:
```
20
Lattice="3.0437 1.7573 13.1546 -3.0437 1.7573 13.1546 0.0000 -3.5146 13.1546" Properties=species:S:1:pos:R:3 pbc="T T T"
Pu 0.0000 0.0000 5.0389
Pu 0.0000 0.0000 10.8920
Pu 0.0000 0.0000 28.5718
Pu 0.0000 0.0000 34.4249
Ge -1.7730 -1.0237 18.2139
Ge 0.0000 -2.0223 15.2574
Ge -1.7514 1.0112 15.2574
Ge -1.7514 -1.0112 24.2064
Ge 0.0000 -2.0473 21.2499
Ge -1.7730 1.0237 21.2499
Ge 1.7730 -1.0237 18.2139
Ge 0.0000 2.0473 18.2139
Ge 1.7514 1.0112 15.2574
Ge 1.7514 -1.0112 24.2064
Ge 0.0000 2.0223 24.2064
Ge 1.7730 1.0237 21.2499
Ir 0.0000 0.0000 16.6920
Ir 0.0000 0.0000 22.7717
Pd 0.0000 0.0000 0.0000
Pd 0.0000 0.0000 19.7319
```

Results
- space group = R-3m (166)
- calculated formation energy (kJ/mol of formula units) = -230



5.
Here is crystalline ScAgOs2 at its relaxed geometry from Alexandria. Energies are from PBE.

Geometry as extended XYZ:
```
4
Lattice="2.7410 -4.0569 0.0000 2.7410 4.0569 0.0000 0.0000 0.0000 2.9116" Properties=species:S:1:pos:R:3 pbc="T T T"
Sc 0.0000 0.0000 0.0000
Ag 2.7410 0.0000 0.0000
Os 1.3705 2.0284 1.4558
Os 1.3705 -2.0284 1.4558
```

Results
- space group = Cmmm (65)
- calculated formation energy (kJ/mol of formula units) = 142
- polymorph energy (0 for the lowest one) (meV per atom) = 294



6.
Here is crystalline LiSeBrN2 at its relaxed geometry from Alexandria. Energies are from PBE.

Geometry as extended XYZ:
```
5
Lattice="4.2778 0.0000 0.0000 0.0000 4.2778 0.0000 0.0000 0.0000 5.4458" Properties=species:S:1:pos:R:3 pbc="T T T"
Li 0.0000 0.0000 0.0000
Se 2.1389 2.1389 0.0000
Br 2.1389 2.1389 2.7229
N 0.0000 2.1389 2.7229
N 2.1389 0.0000 2.7229
```

Results
- space group = P4/mmm (123)
- formation energy without anion corrections (eV/atom) = 1.7260
- polymorph energy (0 for the lowest one) (meV per atom) = 38



Number 1: E -64.23 eV for the cell shown. Number 2: E -9.87 eV for the cell shown. Number 3: E -19.98 eV for the cell shown. Number 4: E -145.62 eV for the cell shown. Number 5: E -30.17 eV for the cell shown. Number 6: E -15.09 eV for the cell shown.